Record 1
Material: Fe2CoSi
Method: DFT, meta-GGA SCAN
State: single point on PBEsol structure

abc: 3.4026 3.4026 3.6856
angles: 90.00 90.00 90.00
Closest atoms and distances in Å follow each position.
Element x y z (fractional)
Fe: 0.0000 0.5000 0.0000  4 Fe 2.41, 4 Si 2.51, 4 Co 2.51
Fe: 0.5000 0.0000 0.0000  4 Fe 2.41, 4 Co 2.51, 4 Si 2.51
Si: 0.5000 0.5000 0.5000  4 Co 2.41, 8 Fe 2.51
Co: 0.0000 0.0000 0.5000  4 Si 2.41, 8 Fe 2.51

Calculated values
Its space-group type is P4/mmm, No. 123. The calculation puts the uncorrected formation energy at -25.6 kJ per mole of atoms. As for the magnetization: 5.37 μB/f.u. The calculation puts the density at 7.73 g/cm3.


Record 2
Material: NiWIN2
Method: DFT, meta-GGA SCAN
State: single point on PBEsol structure

abc: 3.8317 3.8317 4.8760
angles: 90.00 90.00 90.00
Closest atoms and distances in Å follow each position.
Element x y z (fractional)
W: 0.5000 0.5000 0.5000  4 I 2.71
Ni: 0.0000 0.0000 0.0000  4 N 1.92
I: 0.0000 0.0000 0.5000  2 Ni 2.44, 4 W 2.71
N: 0.5000 0.0000 0.0000  2 Ni 1.92
N: 0.0000 0.5000 0.0000  2 Ni 1.92

Calculated values
Its space-group type is P4/mmm, No. 123. The calculation puts the uncorrected formation energy at 195.7 kJ per mole of atoms. As for the magnetization: 0.32 μB/f.u. The calculation puts the density at 9.22 g/cm3.


Record 3
Material: LaCrAgRh2
Method: DFT, meta-GGA SCAN
State: single point on PBEsol structure

abc: 4.7385 4.7385 4.9358
angles: 90.00 90.00 90.00
Closest atoms and distances in Å follow each position.
Element x y z (fractional)
Rh: 0.5000 0.0000 0.0000  2 La 2.37
Cr: 0.0000 0.0000 0.5000  2 La 2.47
La: 0.0000 0.0000 0.0000  4 Rh 2.37, 2 Cr 2.47
Ag: 0.5000 0.5000 0.5000  4 Cr 3.35, 8 Rh 3.42
Rh: 0.0000 0.5000 0.0000  2 La 2.37

Calculated values
Its space-group type is P4/mmm, No. 123. As for the magnetization: 4.50 μB/f.u. The calculation puts the density at 7.56 g/cm3. The calculation puts the formation energy at 1.22 eV per atom.


Record 4
Material: KNaS2
Method: DFT, meta-GGA SCAN
State: single point on PBEsol structure

abc: 3.4895 3.4895 9.9728
angles: 79.92 79.92 60.00
Closest atoms and distances in Å follow each position.
Element x y z (fractional)
S: 0.0867 0.0867 0.7400  1 Na 2.54
Na: 0.0000 0.0000 0.0000  2 S 2.54
S: 0.9133 0.9133 0.2600  1 Na 2.54
K: 0.5000 0.5000 0.5000  6 S 3.09

Calculated values
Its space-group type is R-3m, No. 166. As for the energy above the most stable polymorph in this dataset: 2.20 eV per formula unit. The calculation puts the uncorrected formation energy at -22.2 kJ per mole of atoms. As for the magnetization: 1.50 μB/f.u. The calculation puts the density at 2.03 g/cm3.


Record 5
Material: Co2Ir
Method: DFT, meta-GGA SCAN
State: single point on PBEsol structure

abc: 2.6016 4.8122 6.0390
angles: 104.68 90.00 105.68
Closest atoms and distances in Å follow each position.
Element x y z (fractional)
Co: 0.6358 0.2716 0.0263  9 Co 2.45-2.60, 3 Ir 2.50-2.56
Ir: 0.6912 0.3824 0.6435  8 Co 2.50-2.60, 4 Ir 2.60-2.62
Co: 0.3642 0.7284 0.9737  9 Co 2.45-2.60, 3 Ir 2.50-2.56
Co: 0.9726 0.9452 0.7060  7 Co 2.48-2.67, 5 Ir 2.52-2.60
Ir: 0.3088 0.6176 0.3565  8 Co 2.50-2.60, 4 Ir 2.60-2.62
Co: 0.0274 0.0548 0.2940  7 Co 2.48-2.67, 5 Ir 2.52-2.60

Calculated values
Its space-group type is C2/m, No. 12. As for the energy above the most stable polymorph in this dataset: 0.03 eV per formula unit. As for the magnetization: 4.21 μB/f.u. The calculation puts the density at 14.66 g/cm3. The calculation puts the formation energy at 0.03 eV per atom.


Record 6
Material: Zr3BCl
Method: DFT, meta-GGA SCAN
State: single point on PBEsol structure

abc: 4.6179 4.6179 4.6179
angles: 90.00 90.00 90.00
Closest atoms and distances in Å follow each position.
Element x y z (fractional)
Zr: 0.0000 0.5000 0.0000  2 Cl 2.31
Cl: 0.0000 0.0000 0.0000  6 Zr 2.31
B: 0.5000 0.5000 0.5000  12 Zr 3.27
Zr: 0.0000 0.0000 0.5000  2 Cl 2.31
Zr: 0.5000 0.0000 0.0000  2 Cl 2.31

Calculated values
Its space-group type is Pm-3m, No. 221. The calculation puts the uncorrected formation energy at 65.6 kJ per mole of atoms. As for the magnetization: 0.00 μB/f.u. The calculation puts the density at 5.39 g/cm3.


Record 7
Material: CsSn2Te2
Method: DFT, meta-GGA SCAN
State: single point on PBEsol structure

abc: 4.7260 4.7260 8.5667
angles: 106.01 106.01 90.00
Closest atoms and distances in Å follow each position.
Element x y z (fractional)
Te: 0.3977 0.3977 0.7955  1 Te 3.23, 4 Sn 3.32
Sn: 0.7500 0.2500 0.5000  4 Te 3.32, 4 Sn 3.34
Sn: 0.2500 0.7500 0.5000  4 Te 3.32, 4 Sn 3.34
Te: 0.6023 0.6023 0.2045  1 Te 3.23, 4 Sn 3.32
Cs: 0.0000 0.0000 0.0000  8 Te 3.71

Calculated values
Its space-group type is I4/mmm, No. 139. As for the energy above the most stable polymorph in this dataset: 0.98 eV per formula unit. The calculation puts the uncorrected formation energy at -25.0 kJ per mole of atoms. As for the magnetization: 0.00 μB/f.u. The calculation puts the density at 5.90 g/cm3.


Record 8
Material: Al3MoAs
Method: DFT, meta-GGA SCAN
State: single point on PBEsol structure

abc: 4.6963 4.6963 4.6963
angles: 90.00 90.00 90.00
Closest atoms and distances in Å follow each position.
Element x y z (fractional)
Al: 0.5000 0.0000 0.0000  2 As 2.35
Mo: 0.5000 0.5000 0.5000  12 Al 3.32
Al: 0.0000 0.0000 0.5000  2 As 2.35
Al: 0.0000 0.5000 0.0000  2 As 2.35
As: 0.0000 0.0000 0.0000  6 Al 2.35

Calculated values
Its space-group type is Pm-3m, No. 221. As for the magnetization: 3.56 μB/f.u. The calculation puts the density at 4.04 g/cm3. The calculation puts the formation energy at 1.13 eV per atom.


Record 9
Material: KZrAg2
Method: DFT, meta-GGA SCAN
State: single point on PBEsol structure

abc: 3.0199 3.7522 8.6507
angles: 90.00 90.00 90.00
Closest atoms and distances in Å follow each position.
Element x y z (fractional)
K: 0.0000 0.0000 0.4635  2 K 3.02
Zr: 0.5000 0.5000 0.8340  5 Ag 2.90-3.01, 2 Zr 3.02
Ag: 0.0000 0.0000 0.0205  6 Ag 2.78-3.02, 4 Zr 2.90
Ag: 0.5000 0.5000 0.1820  6 Ag 2.78-3.02, 1 Zr 3.01

Calculated values
Its space-group type is Pmm2, No. 25. As for the energy above the most stable polymorph in this dataset: 0.92 eV per formula unit. As for the magnetization: 0.00 μB/f.u. The calculation puts the density at 5.86 g/cm3. The calculation puts the formation energy at 0.32 eV per atom.


Record 10
Material: BeCo2Br
Method: DFT, meta-GGA SCAN
State: single point on PBEsol structure

abc: 3.9512 2.9123 3.9535
angles: 90.00 90.00 90.00
Closest atoms and distances in Å follow each position.
Element x y z (fractional)
Co: 0.5000 0.0000 0.5000  4 Br 2.45, 4 Be 2.46
Br: 0.0000 0.5000 0.5000  8 Co 2.45-2.46
Co: 0.0000 0.0000 0.0000  4 Be 2.45, 4 Br 2.46
Be: 0.5000 0.5000 0.0000  8 Co 2.45-2.46

Calculated values
Its space-group type is P4/mmm, No. 123. As for the energy above the most stable polymorph in this dataset: 1.58 eV per formula unit. The calculation puts the uncorrected formation energy at 74.9 kJ per mole of atoms. As for the magnetization: 1.71 μB/f.u. The calculation puts the density at 7.55 g/cm3.


Record 11
Material: LaReTc
Method: DFT, meta-GGA SCAN
State: single point on PBEsol structure

abc: 4.3714 4.3714 4.3714
angles: 60.00 60.00 60.00
Closest atoms and distances in Å follow each position.
Element x y z (fractional)
Tc: 0.5000 0.5000 0.5000  4 La 2.68
Re: 0.0000 0.0000 0.0000  4 La 2.68
La: 0.2500 0.2500 0.2500  4 Re 2.68, 4 Tc 2.68

Calculated values
Its space-group type is F-43m, No. 216. As for the energy above the most stable polymorph in this dataset: 5.18 eV per formula unit. As for the magnetization: 0.00 μB/f.u. The calculation puts the density at 11.89 g/cm3. The calculation puts the formation energy at 1.86 eV per atom.


Record 12
Material: Ba3NiIr2O9
Method: DFT, meta-GGA SCAN
State: single point on PBEsol structure

abc: 5.7026 5.7026 14.1238
angles: 90.00 90.00 120.00
Closest atoms and distances in Å follow each position.
Element x y z (fractional)
O: 0.8309 0.1691 0.0812  1 Ir 1.96, 1 Ni 2.03
Ba: 0.6667 0.3333 0.5834  12 O 2.83-2.92
Ba: 0.6667 0.3333 0.9166  12 O 2.83-2.92
O: 0.8309 0.6618 0.0812  1 Ir 1.96, 1 Ni 2.03
O: 0.1691 0.8309 0.5812  1 Ir 1.96, 1 Ni 2.03
O: 0.4909 0.9818 0.7500  2 Ir 2.02
O: 0.1691 0.3382 0.5812  1 Ir 1.96, 1 Ni 2.03
O: 0.1691 0.3382 0.9188  1 Ir 1.96, 1 Ni 2.03
O: 0.6618 0.8309 0.5812  1 Ir 1.96, 1 Ni 2.03
Ba: 0.0000 0.0000 0.7500  12 O 2.85-2.91
O: 0.3382 0.1691 0.0812  1 Ir 1.96, 1 Ni 2.03
O: 0.4909 0.5091 0.7500  2 Ir 2.02
Ni: 0.0000 0.0000 0.5000  6 O 2.03
Ni: 0.0000 0.0000 0.0000  6 O 2.03
Ba: 0.3333 0.6667 0.4166  12 O 2.83-2.92
Ir: 0.6667 0.3333 0.1589  6 O 1.96-2.02
Ba: 0.0000 0.0000 0.2500  12 O 2.85-2.91
O: 0.3382 0.1691 0.4188  1 Ir 1.96, 1 Ni 2.03
Ir: 0.6667 0.3333 0.3411  6 O 1.96-2.02
O: 0.6618 0.8309 0.9188  1 Ir 1.96, 1 Ni 2.03
O: 0.9818 0.4909 0.2500  2 Ir 2.02
Ir: 0.3333 0.6667 0.6589  6 O 1.96-2.02
O: 0.1691 0.8309 0.9188  1 Ir 1.96, 1 Ni 2.03
O: 0.8309 0.1691 0.4188  1 Ir 1.96, 1 Ni 2.03
O: 0.0182 0.5091 0.7500  2 Ir 2.02
Ir: 0.3333 0.6667 0.8411  6 O 1.96-2.02
Ba: 0.3333 0.6667 0.0834  12 O 2.83-2.92
O: 0.5091 0.4909 0.2500  2 Ir 2.02
O: 0.8309 0.6618 0.4188  1 Ir 1.96, 1 Ni 2.03
O: 0.5091 0.0182 0.2500  2 Ir 2.02

Calculated values
Its space-group type is P6_3/mmc, No. 194. The calculation puts the uncorrected formation energy at -180.2 kJ per mole of atoms. As for the magnetization: 3.95 μB/f.u. The calculation puts the density at 8.34 g/cm3.


> What is the magnetization in the ninth record?

0.00 μB/f.u.


> What is the magnetization in the second record?

0.32 μB/f.u.


Repeat the twelfth record exactly.
Material: Ba3NiIr2O9
Method: DFT, meta-GGA SCAN
State: single point on PBEsol structure

abc: 5.7026 5.7026 14.1238
angles: 90.00 90.00 120.00
Closest atoms and distances in Å follow each position.
Element x y z (fractional)
O: 0.8309 0.1691 0.0812  1 Ir 1.96, 1 Ni 2.03
Ba: 0.6667 0.3333 0.5834  12 O 2.83-2.92
Ba: 0.6667 0.3333 0.9166  12 O 2.83-2.92
O: 0.8309 0.6618 0.0812  1 Ir 1.96, 1 Ni 2.03
O: 0.1691 0.8309 0.5812  1 Ir 1.96, 1 Ni 2.03
O: 0.4909 0.9818 0.7500  2 Ir 2.02
O: 0.1691 0.3382 0.5812  1 Ir 1.96, 1 Ni 2.03
O: 0.1691 0.3382 0.9188  1 Ir 1.96, 1 Ni 2.03
O: 0.6618 0.8309 0.5812  1 Ir 1.96, 1 Ni 2.03
Ba: 0.0000 0.0000 0.7500  12 O 2.85-2.91
O: 0.3382 0.1691 0.0812  1 Ir 1.96, 1 Ni 2.03
O: 0.4909 0.5091 0.7500  2 Ir 2.02
Ni: 0.0000 0.0000 0.5000  6 O 2.03
Ni: 0.0000 0.0000 0.0000  6 O 2.03
Ba: 0.3333 0.6667 0.4166  12 O 2.83-2.92
Ir: 0.6667 0.3333 0.1589  6 O 1.96-2.02
Ba: 0.0000 0.0000 0.2500  12 O 2.85-2.91
O: 0.3382 0.1691 0.4188  1 Ir 1.96, 1 Ni 2.03
Ir: 0.6667 0.3333 0.3411  6 O 1.96-2.02
O: 0.6618 0.8309 0.9188  1 Ir 1.96, 1 Ni 2.03
O: 0.9818 0.4909 0.2500  2 Ir 2.02
Ir: 0.3333 0.6667 0.6589  6 O 1.96-2.02
O: 0.1691 0.8309 0.9188  1 Ir 1.96, 1 Ni 2.03
O: 0.8309 0.1691 0.4188  1 Ir 1.96, 1 Ni 2.03
O: 0.0182 0.5091 0.7500  2 Ir 2.02
Ir: 0.3333 0.6667 0.8411  6 O 1.96-2.02
Ba: 0.3333 0.6667 0.0834  12 O 2.83-2.92
O: 0.5091 0.4909 0.2500  2 Ir 2.02
O: 0.8309 0.6618 0.4188  1 Ir 1.96, 1 Ni 2.03
O: 0.5091 0.0182 0.2500  2 Ir 2.02

Calculated values
Its space-group type is P6_3/mmc, No. 194. The calculation puts the uncorrected formation energy at -180.2 kJ per mole of atoms. As for the magnetization: 3.95 μB/f.u. The calculation puts the density at 8.34 g/cm3.


> What is the magnetization in the seventh record?

0.00 μB/f.u.